one | This record from the Alexandria database describes ZnAsSe2N after structural relaxation. The functional is PBE.

a b c (Å): 4.981 4.981 4.836
angles (deg): 90.00 90.00 90.00
Site moments in Bohr magnetons follow the coordinates.
Fractional positions:
As 0.000 0.000 0.500  -0.04
Zn 0.000 0.000 0.000  0.00
Se 0.000 0.500 0.000  -0.02
Se 0.500 0.000 0.000  -0.02
N 0.500 0.500 0.500  1.78

Calculated values
total magnetization = 2.51 μB per cell

two | This record from the Alexandria database describes ZnAsSe2N after structural relaxation. The functional is PBE.

a b c (Å): 4.577 4.577 4.211
angles (deg): 90.00 90.00 90.00
Fractional positions:
As 0.000 0.000 0.500
Zn 0.500 0.500 0.500
Se 0.000 0.500 0.000
Se 0.500 0.000 0.000
N 0.000 0.000 0.000

Calculated values
total magnetization = 0.00 μB per cell

three | This record from the Alexandria database describes ZnAsSe2N after structural relaxation. The functional is PBE.

a b c (Å): 5.166 5.166 3.632
angles (deg): 90.00 90.00 90.00
Fractional positions:
As 0.000 0.000 0.000
Zn 0.500 0.500 0.500
Se 0.000 0.500 0.000
Se 0.500 0.000 0.000
N 0.000 0.000 0.500

Calculated values
total magnetization = 0.00 μB per cell

four | This record from the Alexandria database describes ZnAsSe2N after structural relaxation. The functional is PBE.

a b c (Å): 5.037 5.037 3.662
angles (deg): 90.00 90.00 90.00
Site moments in Bohr magnetons follow the coordinates.
Fractional positions:
As 0.500 0.500 0.500  -0.01
Zn 0.000 0.000 0.000  0.04
Se 0.000 0.500 0.000  0.13
Se 0.500 0.000 0.000  0.13
N 0.000 0.000 0.500  0.97

Calculated values
total magnetization = 1.77 μB per cell

Which structure above is the least stable one? one is the least stable one.